1.
Bi2MoO6: optimized geometry, PBE with a Hubbard U.

abc: 8.8766 8.8766 5.4596
angles: 90.00 90.00 144.26
Sites, in units of the cell vectors:
O 0.1093 0.8907 0.9159
O 0.7713 0.7287 0.2500
O 0.2287 0.2713 0.7500
O 0.7287 0.7713 0.7500
O 0.4990 0.0010 0.2500
O 0.9990 0.5010 0.2500
O 0.5010 0.9990 0.7500
O 0.2713 0.2287 0.2500
O 0.8907 0.1093 0.0841
O 0.6093 0.3907 0.5841
O 0.0010 0.4990 0.7500
O 0.3907 0.6093 0.4159
Bi 0.6734 0.3266 0.9757
Bi 0.3266 0.6734 0.0243
Bi 0.8266 0.1734 0.4757
Bi 0.1734 0.8266 0.5243
Mo 0.5000 0.5000 0.5000
Mo 0.0000 0.0000 0.0000

=====

2.
Bi2Mo2O7: optimized geometry, PBE with a Hubbard U.

abc: 5.3545 5.2055 5.2055
angles: 83.11 90.00 90.00
Site moments in Bohr magnetons follow the coordinates.
Sites, in units of the cell vectors:
Mo 0.5000 0.7331 0.7331  1.91
Mo 0.5000 0.2669 0.2669  1.91
O 0.2649 0.5001 0.5001  -0.03
O 0.7384 0.5000 0.9999  0.00
O 0.2616 0.5000 0.0001  0.00
O 0.5000 0.0000 0.0000  0.02
O 0.7351 0.4999 0.4999  -0.03
O 0.7384 0.9999 0.5000  0.00
O 0.2616 0.0001 0.5000  0.00
Bi 0.0000 0.2414 0.7586  0.05
Bi 0.0000 0.7586 0.2414  0.05

=====

3.
BiMo2O10: optimized geometry, PBE with a Hubbard U.

abc: 11.5675 5.6244 6.0345
angles: 70.95 90.00 90.00
Site moments in Bohr magnetons follow the coordinates.
Sites, in units of the cell vectors:
O 0.3747 0.6028 0.4905  0.03
O 0.2500 0.0527 0.0954  1.10
O 0.9326 0.8429 0.6211  0.03
O 0.6209 0.3965 0.0548  0.19
O 0.2500 0.9768 0.5949  0.07
O 0.4326 0.1571 0.3789  0.03
O 0.7500 0.0232 0.4051  0.07
O 0.8791 0.3965 0.0548  0.19
O 0.4145 0.0334 0.8987  1.31
O 0.5855 0.9666 0.1013  1.31
O 0.9145 0.9666 0.1013  1.31
O 0.6253 0.3972 0.5095  0.03
O 0.7500 0.9473 0.9046  1.10
O 0.1209 0.6035 0.9452  0.19
O 0.8747 0.3972 0.5095  0.03
O 0.5674 0.8429 0.6211  0.03
O 0.1253 0.6028 0.4905  0.03
O 0.3791 0.6035 0.9452  0.19
O 0.0855 0.0334 0.8987  1.31
O 0.0674 0.1571 0.3789  0.03
Mo 0.5963 0.1943 0.3510  -0.06
Mo 0.4037 0.8057 0.6490  -0.06
Mo 0.0963 0.8057 0.6490  -0.06
Mo 0.9037 0.1943 0.3510  -0.06
Bi 0.7500 0.6309 0.7421  -0.02
Bi 0.2500 0.3691 0.2579  -0.02

=====

4.
BiMo2O10: optimized geometry, PBE with a Hubbard U.

abc: 11.8039 6.0161 6.3124
angles: 64.41 90.00 90.00
Site moments in Bohr magnetons follow the coordinates.
Sites, in units of the cell vectors:
O 0.8798 0.4497 0.6178  0.00
O 0.7500 0.5094 0.9547  0.01
O 0.7500 0.9273 0.0932  0.34
O 0.8760 0.9081 0.6414  0.01
O 0.6240 0.9081 0.6414  0.01
O 0.3798 0.5503 0.3822  0.00
O 0.2500 0.4906 0.0453  0.01
O 0.8448 0.0041 0.1657  0.23
O 0.9341 0.4207 0.1640  0.00
O 0.5659 0.4207 0.1640  0.00
O 0.6202 0.4497 0.6178  0.00
O 0.6552 0.0041 0.1657  0.23
O 0.3760 0.0919 0.3586  0.01
O 0.1240 0.0919 0.3586  0.01
O 0.2500 0.0727 0.9068  0.34
O 0.4341 0.5793 0.8360  0.00
O 0.3448 0.9959 0.8343  0.23
O 0.1202 0.5503 0.3822  0.00
O 0.1552 0.9959 0.8343  0.23
O 0.0659 0.5793 0.8360  0.00
Mo 0.4029 0.4098 0.1979  0.00
Mo 0.5971 0.5903 0.8021  0.00
Mo 0.9029 0.5903 0.8021  0.00
Mo 0.0971 0.4098 0.1979  0.00
Bi 0.2500 0.7753 0.6471  -0.01
Bi 0.7500 0.2247 0.3529  -0.01

=====

5.
Bi5Mo2O12: optimized geometry, PBE with a Hubbard U.

abc: 6.2299 7.5283 7.1477
angles: 104.99 115.84 90.00
Site moments in Bohr magnetons follow the coordinates.
Sites, in units of the cell vectors:
O 0.4004 0.5795 0.3059  -0.01
O 0.9992 0.1790 0.9983  -0.01
O 0.8928 0.0842 0.3212  -0.03
O 0.5037 0.8176 0.0075  0.01
O 0.0008 0.8210 0.0017  -0.01
O 0.9055 0.5795 0.3059  -0.01
O 0.5716 0.9158 0.6788  -0.03
O 0.4284 0.0842 0.3212  -0.03
O 0.1072 0.9158 0.6788  -0.03
O 0.5996 0.4205 0.6941  -0.01
O 0.0945 0.4205 0.6941  -0.01
O 0.4963 0.1824 0.9925  0.01
Bi 0.0000 0.5000 0.0000  0.03
Bi 0.3017 0.6431 0.6033  0.00
Bi 0.6983 0.3569 0.3967  0.00
Bi 0.6908 0.8267 0.3815  0.00
Bi 0.3092 0.1733 0.6185  0.00
Mo 0.2445 0.0000 0.0000  1.55
Mo 0.7555 0.0000 0.0000  1.55

=====

6.
BiMo4O12: optimized geometry, PBE with a Hubbard U.

abc: 6.7219 6.7219 6.7219
angles: 108.58 111.26 108.58
Site moments in Bohr magnetons follow the coordinates.
Sites, in units of the cell vectors:
O 0.4489 0.7452 0.7037  -0.07
O 0.7960 0.2549 0.0509  -0.07
O 0.2840 0.4997 0.2157  -0.10
O 0.7160 0.9317 0.2157  -0.10
O 0.2840 0.0683 0.7843  -0.10
O 0.7160 0.5003 0.7843  -0.10
O 0.0416 0.7452 0.2963  -0.07
O 0.2040 0.7451 0.9491  -0.07
O 0.7960 0.7451 0.5412  -0.07
O 0.2040 0.2549 0.4588  -0.07
O 0.9584 0.2547 0.7037  -0.07
O 0.5511 0.2547 0.2963  -0.07
Mo 0.0000 0.5000 0.0000  0.98
Mo 0.5000 0.0000 0.0000  0.98
Mo 0.5000 0.5000 0.5000  0.98
Mo 0.0000 0.0000 0.5000  0.98
Bi 0.0000 0.5000 0.5000  0.02

=====

7.
Bi3MoO6: optimized geometry, PBE with a Hubbard U.

abc: 6.9449 6.9449 6.9449
angles: 94.46 94.46 94.46
Site moments in Bohr magnetons follow the coordinates.
Sites, in units of the cell vectors:
Mo 0.5000 0.5000 0.5000  2.69
Mo 0.0000 0.0000 0.0000  2.73
O 0.9432 0.6955 0.0561  0.01
O 0.0561 0.9432 0.6955  0.01
O 0.9439 0.0568 0.3045  0.01
O 0.3959 0.2003 0.5270  0.01
O 0.7997 0.4730 0.6041  0.01
O 0.2003 0.5270 0.3959  0.01
O 0.6955 0.0561 0.9432  0.01
O 0.3045 0.9439 0.0568  0.01
O 0.6041 0.7997 0.4730  0.01
O 0.0568 0.3045 0.9439  0.01
O 0.5270 0.3959 0.2003  0.01
O 0.4730 0.6041 0.7997  0.01
Bi 0.4446 0.9191 0.7508  0.03
Bi 0.9191 0.7508 0.4446  0.03
Bi 0.2492 0.5554 0.0809  0.03
Bi 0.0809 0.2492 0.5554  0.03
Bi 0.5554 0.0809 0.2492  0.03
Bi 0.7508 0.4446 0.9191  0.03

=====

8.
Bi14Mo5O36: optimized geometry, PBE with a Hubbard U.

abc: 5.7357 8.7399 17.6841
angles: 99.41 99.33 90.00
Sites, in units of the cell vectors:
O 0.7912 0.1495 0.9680
O 0.6587 0.1829 0.6100
O 0.1654 0.9800 0.7626
O 0.1706 0.5575 0.8474
O 0.7140 0.9284 0.6911
O 0.3707 0.8077 0.0842
O 0.2492 0.7332 0.2552
O 0.9940 0.2668 0.7448
O 0.8785 0.3837 0.3017
O 0.4987 0.6940 0.5330
O 0.4028 0.0200 0.2374
O 0.4843 0.3450 0.4654
O 0.5742 0.1835 0.8000
O 0.1215 0.8958 0.9230
O 0.5768 0.6163 0.6983
O 0.8232 0.8505 0.0320
O 0.7229 0.5000 0.0000
O 0.2866 0.1923 0.9158
O 0.9657 0.3060 0.4670
O 0.0487 0.8171 0.3900
O 0.3232 0.4425 0.1526
O 0.1985 0.1042 0.0770
O 0.0845 0.6129 0.6950
O 0.5681 0.8908 0.8636
O 0.0230 0.0716 0.3089
O 0.4707 0.9731 0.3924
O 0.2209 0.3700 0.6077
O 0.7046 0.1092 0.1364
O 0.2199 0.5000 0.0000
O 0.6132 0.6300 0.3923
O 0.7742 0.8165 0.2000
O 0.3895 0.3871 0.3050
O 0.6841 0.5670 0.8516
O 0.0189 0.6550 0.5346
O 0.0783 0.0269 0.6076
O 0.8325 0.4330 0.1484
Bi 0.2819 0.5355 0.4218
Bi 0.0450 0.6079 0.1025
Bi 0.3504 0.4472 0.7418
Bi 0.6086 0.5528 0.2582
Bi 0.7622 0.8113 0.4811
Bi 0.8763 0.7296 0.7908
Bi 0.6949 0.2290 0.3622
Bi 0.0855 0.2704 0.2092
Bi 0.9426 0.3921 0.8975
Bi 0.4671 0.6741 0.9475
Bi 0.2811 0.1887 0.5189
Bi 0.5196 0.3259 0.0525
Bi 0.8601 0.4645 0.5782
Bi 0.3327 0.7710 0.6378
Mo 0.2035 0.9040 0.3250
Mo 0.8785 0.0960 0.6750
Mo 0.9833 0.0000 0.0000
Mo 0.4016 0.0599 0.8410
Mo 0.5606 0.9401 0.1590

=====

Result set for mass density: 8.1; 8.3; 5.0; 4.6; 8.2; 5.6; 8.2; 7.7 g/cm³, one per record in the order listed.
Result set for E_tot: -114.57; -72.37; -154.95; -164.47; -119.21; -117.02; -123.31; -346.55 eV for the cell shown, one per record in the order listed.
Result set for M_tot: 0.00; 4.00; 10.01; 2.00; 3.00; 3.01; 6.00; 0.00 μB/cell, one per record in the order listed.